Entry 1:
Material: SmH8S3N3O10
Method: DFT, PBEsol
State: optimized geometry

Output
Energy ... -6.1284 eV per atom
Magnetic moment ... 0.00 μB/f.u.
Calculated density ... 2.91 g cm⁻³
V ... 522 Å³/cell

Cell lengths 6.7212, 9.2404, 9.2611 Å; angles 69.98, 83.19, 75.13 degrees
With the nearest neighbours (Å) after each atom.
Positions (direct):
O: 0.0449 0.7651 0.6565  1 S 1.48
O: 0.5029 0.0287 0.1914  1 S 1.47
O: 0.2368 0.3276 0.1130  2 H 0.99-1.01
O: 0.2368 0.8401 0.1477  1 S 1.46
N: 0.6776 0.7395 0.3435  2 H 1.03-1.04
O: 0.2231 0.9130 0.4343  1 S 1.47
S: 0.7414 0.3028 0.8937  3 O 1.46-1.47
H: 0.4627 0.6139 0.7276  1 N 1.04
O: 0.7632 0.6724 0.8870  2 H 0.99-1.01
O: 0.4722 0.6042 0.1200  1 S 1.47
Sm: 0.8665 0.9128 0.8124  8 O 2.34-2.48
H: 0.1705 0.5617 0.3414  1 N 1.04
H: 0.3422 0.3573 0.0305  1 O 0.99
N: 0.8718 0.4236 0.7682  2 H 1.03-1.04
Sm: 0.1335 0.0872 0.1876  8 O 2.34-2.48
S: 0.7725 0.2426 0.4488  3 O 1.45-1.48
O: 0.8292 0.2673 0.0425  1 S 1.46
S: 0.6981 0.9075 0.2172  3 O 1.46-1.47, 1 N 1.62
S: 0.3019 0.0925 0.7828  3 O 1.46-1.47, 1 N 1.62
O: 0.7406 0.3740 0.5068  1 S 1.45
H: 0.5373 0.3861 0.2724  1 N 1.04
S: 0.2586 0.6972 0.1063  3 O 1.46-1.47
N: 0.3224 0.2605 0.6565  2 H 1.03-1.04
O: 0.4971 0.9713 0.8086  1 S 1.47
O: 0.9551 0.2349 0.3435  1 S 1.48
H: 0.6578 0.6427 0.9695  1 O 0.99
H: 0.5705 0.1900 0.3061  1 N 1.03
O: 0.1708 0.7327 0.9575  1 S 1.46
O: 0.7769 0.0870 0.5657  1 S 1.47
H: 0.5866 0.6867 0.3050  1 N 1.03
H: 0.1862 0.4141 0.1606  1 O 1.01
O: 0.8464 0.9613 0.2784  1 S 1.46
O: 0.2594 0.6260 0.4932  1 S 1.45
H: 0.0277 0.3715 0.7753  1 N 1.03
O: 0.7751 0.8634 0.0793  1 S 1.47
H: 0.8295 0.4383 0.6586  1 N 1.04
N: 0.1282 0.5764 0.2318  2 H 1.03-1.04
H: 0.6268 0.7446 0.4529  1 N 1.04
O: 0.7632 0.1599 0.8523  1 S 1.46
H: 0.4134 0.3133 0.6950  1 N 1.03
H: 0.9723 0.6285 0.2247  1 N 1.03
N: 0.5614 0.2756 0.3563  2 H 1.03-1.04
N: 0.4386 0.7244 0.6437  2 H 1.03-1.04
H: 0.3732 0.2554 0.5471  1 N 1.04
H: 0.4295 0.8100 0.6939  1 N 1.03
S: 0.2275 0.7574 0.5512  3 O 1.45-1.48
H: 0.8138 0.5859 0.8394  1 O 1.01
O: 0.5278 0.3958 0.8800  1 S 1.47
O: 0.2249 0.1366 0.9207  1 S 1.47
O: 0.1536 0.0387 0.7216  1 S 1.46



Entry 2:
Material: Sn2H22S6N4O3
Method: DFT, PBEsol
State: optimized geometry

Output
Energy ... -4.8307 eV per atom
Magnetic moment ... 0.00 μB/f.u.
Calculated density ... 2.28 g cm⁻³
V ... 1617 Å³/cell

Cell lengths 8.5150, 8.5150, 22.3084 Å; angles 90.00, 90.00, 90.00 degrees
With the nearest neighbours (Å) after each atom.
Positions (direct):
H: 0.6519 0.1847 0.0267  1 N 1.04
H: 0.4370 0.6632 0.4904  1 N 1.06
H: 0.4209 0.4039 0.4642  1 O 1.00
H: 0.9209 0.0961 0.2858  1 O 1.00
H: 0.8535 0.5410 0.9069  1 N 1.04
O: 0.0627 0.4242 0.2936  2 H 1.00
N: 0.7828 0.4043 0.5129  4 H 1.04-1.06
H: 0.6568 0.1136 0.5975  1 N 1.06
S: 0.1817 0.1817 0.5000  2 Sn 2.45
S: 0.3183 0.6817 0.7500  2 Sn 2.45
O: 0.4242 0.0627 0.7064  2 H 1.00
H: 0.8335 0.6011 0.8120  1 O 1.00
H: 0.3025 0.1709 0.1999  1 N 1.06
H: 0.6136 0.8432 0.3475  1 N 1.06
H: 0.9590 0.3535 0.1569  1 N 1.04
S: 0.6976 0.6457 0.1259  4 H 2.21-2.33, 1 Sn 2.38
O: 0.5382 0.5382 0.0000  2 H 1.00
H: 0.9370 0.8368 0.2596  1 N 1.06
H: 0.5791 0.5961 0.9642  1 O 1.00
S: 0.8543 0.1976 0.3759  4 H 2.21-2.33, 1 Sn 2.38
N: 0.4273 0.0495 0.8287  4 H 1.04-1.06
H: 0.4234 0.0567 0.7812  1 N 1.06
H: 0.5138 0.8555 0.9346  1 O 1.00
N: 0.0957 0.2828 0.7629  4 H 1.04-1.06
N: 0.4505 0.9273 0.0787  4 H 1.04-1.06
S: 0.8024 0.1457 0.1241  4 H 2.21-2.33, 1 Sn 2.38
H: 0.1011 0.6665 0.5620  1 O 1.00
N: 0.5727 0.9505 0.3287  4 H 1.04-1.06
S: 0.6170 0.3830 0.7500  2 Sn 2.46
H: 0.3153 0.1519 0.2767  1 N 1.04
H: 0.8153 0.3481 0.4733  1 N 1.04
H: 0.5420 0.0329 0.8439  1 N 1.04
H: 0.4862 0.1445 0.4346  1 O 1.00
O: 0.9618 0.0382 0.2500  2 H 1.00
O: 0.9242 0.4373 0.0436  2 H 1.00
H: 0.4671 0.0420 0.0939  1 N 1.04
O: 0.5627 0.0758 0.4564  2 H 1.00
H: 0.8291 0.6975 0.3001  1 N 1.06
H: 0.5766 0.9433 0.2812  1 N 1.06
H: 0.1519 0.3153 0.7233  1 N 1.04
N: 0.4043 0.7828 0.4871  4 H 1.04-1.06
H: 0.3481 0.8153 0.5267  1 N 1.04
H: 0.6445 0.0138 0.1846  1 O 1.00
H: 0.8548 0.5008 0.5204  1 N 1.04
S: 0.3830 0.6170 0.2500  2 Sn 2.46
N: 0.2828 0.0957 0.2371  4 H 1.04-1.06
H: 0.8555 0.5138 0.0654  1 O 1.00
Sn: 0.9708 0.9632 0.0750  4 S 2.35-2.46
O: 0.0758 0.5627 0.5436  2 H 1.00
S: 0.8183 0.8183 0.0000  2 Sn 2.45
H: 0.4433 0.9234 0.0312  1 N 1.06
H: 0.3535 0.9590 0.8431  1 N 1.04
H: 0.1465 0.4590 0.4069  1 N 1.04
N: 0.9273 0.4505 0.9213  4 H 1.04-1.06
Sn: 0.0292 0.0368 0.5750  4 S 2.35-2.46
H: 0.6465 0.0410 0.3431  1 N 1.04
S: 0.1976 0.8543 0.6241  4 H 2.21-2.33, 1 Sn 2.38
H: 0.4580 0.9671 0.3439  1 N 1.04
S: 0.1457 0.8024 0.8759  4 H 2.21-2.33, 1 Sn 2.38
H: 0.9433 0.5766 0.7188  1 N 1.06
H: 0.8989 0.3335 0.0620  1 O 1.00
S: 0.3024 0.3543 0.6259  4 H 2.21-2.33, 1 Sn 2.38
H: 0.1452 0.4992 0.0204  1 N 1.04
S: 0.1170 0.1170 0.0000  2 Sn 2.46
H: 0.6847 0.8481 0.7767  1 N 1.04
H: 0.8481 0.6847 0.2233  1 N 1.04
O: 0.9373 0.5758 0.7936  2 H 1.00
N: 0.0727 0.5495 0.4213  4 H 1.04-1.06
H: 0.0329 0.5420 0.1561  1 N 1.04
H: 0.9039 0.0791 0.2142  1 O 1.00
N: 0.5957 0.2172 0.9871  4 H 1.04-1.06
H: 0.9671 0.4580 0.6561  1 N 1.04
S: 0.1309 0.7987 0.1334  2 H 2.11-2.23, 1 Sn 2.35
N: 0.9505 0.5727 0.6713  4 H 1.04-1.06
H: 0.4039 0.4209 0.5358  1 O 1.00
S: 0.7013 0.6309 0.3834  2 H 2.11-2.23, 1 Sn 2.35
S: 0.6309 0.7013 0.6166  2 H 2.11-2.23, 1 Sn 2.35
H: 0.0567 0.4234 0.2188  1 N 1.06
H: 0.3555 0.9862 0.6846  1 O 1.00
H: 0.4590 0.1465 0.5931  1 N 1.04
Sn: 0.4632 0.5292 0.8250  4 S 2.35-2.46
H: 0.3548 0.9992 0.2296  1 N 1.04
H: 0.5961 0.5791 0.0358  1 O 1.00
H: 0.9992 0.3548 0.7704  1 N 1.04
H: 0.3291 0.8025 0.4499  1 N 1.06
Sn: 0.0368 0.0292 0.4250  4 S 2.35-2.46
N: 0.0495 0.4273 0.1713  4 H 1.04-1.06
H: 0.5410 0.8535 0.0931  1 N 1.04
H: 0.0008 0.6452 0.2704  1 N 1.04
S: 0.3543 0.3024 0.3741  4 H 2.21-2.33, 1 Sn 2.38
H: 0.5630 0.3368 0.9904  1 N 1.06
O: 0.4618 0.4618 0.5000  2 H 1.00
H: 0.3864 0.1568 0.8475  1 N 1.06
H: 0.6665 0.1011 0.4380  1 O 1.00
H: 0.0410 0.6465 0.6569  1 N 1.04
H: 0.6452 0.0008 0.7296  1 N 1.04
Sn: 0.5292 0.4632 0.1750  4 S 2.35-2.46
S: 0.3691 0.2987 0.1166  2 H 2.11-2.23, 1 Sn 2.35
S: 0.2013 0.8691 0.3666  2 H 2.11-2.23, 1 Sn 2.35
N: 0.2172 0.5957 0.0129  4 H 1.04-1.06
O: 0.0382 0.9618 0.7500  2 H 1.00
H: 0.1709 0.3025 0.8001  1 N 1.06
H: 0.6632 0.4370 0.5096  1 N 1.06
S: 0.8830 0.8830 0.5000  2 Sn 2.46
N: 0.7172 0.9043 0.7371  4 H 1.04-1.06
H: 0.1975 0.6709 0.0501  1 N 1.06
H: 0.0961 0.9209 0.7142  1 O 1.00
H: 0.6975 0.8291 0.6999  1 N 1.06
N: 0.5495 0.0727 0.5787  4 H 1.04-1.06
H: 0.6011 0.8335 0.1880  1 O 1.00
S: 0.2987 0.3691 0.8834  2 H 2.11-2.23, 1 Sn 2.35
H: 0.1847 0.6519 0.9733  1 N 1.04
H: 0.3989 0.1665 0.6880  1 O 1.00
H: 0.3368 0.5630 0.0096  1 N 1.06
H: 0.1445 0.4862 0.5654  1 O 1.00
H: 0.8368 0.9370 0.7404  1 N 1.06
H: 0.9234 0.4433 0.9688  1 N 1.06
H: 0.0791 0.9039 0.7858  1 O 1.00
Sn: 0.9632 0.9708 0.9250  4 S 2.35-2.46
H: 0.3335 0.8989 0.9380  1 O 1.00
O: 0.5758 0.9373 0.2064  2 H 1.00
H: 0.0420 0.4671 0.9061  1 N 1.04
H: 0.3432 0.8864 0.0975  1 N 1.06
N: 0.9043 0.7172 0.2629  4 H 1.04-1.06
H: 0.8025 0.3291 0.5501  1 N 1.06
H: 0.1136 0.6568 0.4025  1 N 1.06
Sn: 0.5368 0.4708 0.3250  4 S 2.35-2.46
H: 0.8432 0.6136 0.6525  1 N 1.06
H: 0.5329 0.9580 0.5939  1 N 1.04
S: 0.6457 0.6976 0.8741  4 H 2.21-2.33, 1 Sn 2.38
H: 0.9862 0.3555 0.3154  1 O 1.00
H: 0.1665 0.3989 0.3120  1 O 1.00
S: 0.8691 0.2013 0.6334  2 H 2.11-2.23, 1 Sn 2.35
H: 0.0630 0.1632 0.7596  1 N 1.06
H: 0.0766 0.5567 0.4688  1 N 1.06
S: 0.7987 0.1309 0.8666  2 H 2.11-2.23, 1 Sn 2.35
H: 0.5008 0.8548 0.4796  1 N 1.04
H: 0.8864 0.3432 0.9025  1 N 1.06
H: 0.1568 0.3864 0.1525  1 N 1.06
H: 0.9580 0.5329 0.4061  1 N 1.04
H: 0.6709 0.1975 0.9499  1 N 1.06
H: 0.0138 0.6445 0.8154  1 O 1.00
S: 0.6817 0.3183 0.2500  2 Sn 2.45
Sn: 0.4708 0.5368 0.6750  4 S 2.35-2.46
O: 0.4373 0.9242 0.9564  2 H 1.00
H: 0.5567 0.0766 0.5312  1 N 1.06
H: 0.4992 0.1452 0.9796  1 N 1.04
H: 0.1632 0.0630 0.2404  1 N 1.06



Entry 3:
Material: VH20S2N2O14
Method: DFT, PBEsol
State: optimized geometry

Output
Energy ... -5.5692 eV per atom
Magnetic moment ... 3.00 μB/f.u.
Calculated density ... 1.92 g cm⁻³
V ... 669 Å³/cell

Cell lengths 6.2594, 9.0895, 12.2915 Å; angles 90.00, 90.00, 107.00 degrees
With the nearest neighbours (Å) after each atom.
Positions (direct):
H: 0.9054 0.7390 0.1192  1 O 0.99
N: 0.3519 0.1353 0.6613  4 H 1.04-1.05
O: 0.6113 0.2803 0.9403  1 S 1.50
H: 0.6709 0.9782 0.8503  1 O 1.00
N: 0.3519 0.6353 0.8387  4 H 1.04-1.05
O: 0.9430 0.3868 0.8276  1 S 1.49
H: 0.6250 0.3304 0.0795  1 N 1.05
H: 0.1874 0.0680 0.6718  1 N 1.04
H: 0.3750 0.6696 0.9205  1 N 1.05
N: 0.6481 0.8647 0.3387  4 H 1.04-1.05
O: 0.2140 0.4448 0.0641  1 S 1.47, 1 H 1.64
S: 0.7344 0.9136 0.6291  4 O 1.47-1.50
H: 0.8126 0.9320 0.3282  1 N 1.04
H: 0.6105 0.2686 0.2113  1 N 1.04
H: 0.6558 0.6012 0.5601  1 O 1.00
H: 0.9054 0.2390 0.3808  1 O 0.99
O: 0.7860 0.0552 0.5641  1 S 1.47, 1 H 1.64
H: 0.0660 0.7716 0.3999  1 O 1.00
H: 0.0114 0.6436 0.3062  1 O 1.00
H: 0.3262 0.2281 0.9147  1 O 1.00
N: 0.6481 0.3647 0.1613  4 H 1.04-1.05
H: 0.3442 0.3988 0.4399  1 O 1.00
O: 0.4149 0.0766 0.2775  1 S 1.50
O: 0.0269 0.8359 0.8823  2 H 1.00
H: 0.1874 0.5680 0.8282  1 N 1.04
H: 0.3750 0.1696 0.5795  1 N 1.05
V: 0.0000 0.0000 0.0000  6 O 2.10-2.12
H: 0.3895 0.2314 0.7113  1 N 1.04
O: 0.0570 0.6132 0.1724  1 S 1.49
H: 0.5464 0.4340 0.1814  1 N 1.05
O: 0.1679 0.6790 0.6074  2 H 0.99-1.00
O: 0.0269 0.3359 0.6177  2 H 1.00
O: 0.6113 0.7803 0.5597  1 S 1.50
H: 0.6105 0.7686 0.2887  1 N 1.04
H: 0.9886 0.8564 0.8062  1 O 1.00
H: 0.6738 0.2719 0.4147  1 O 1.00
O: 0.6976 0.5047 0.5712  2 H 1.00
O: 0.3887 0.2197 0.4403  1 S 1.50
O: 0.8321 0.8210 0.1074  2 H 0.99-1.00
O: 0.3887 0.7197 0.0597  1 S 1.50
O: 0.6976 0.0047 0.9288  2 H 1.00
H: 0.3442 0.8988 0.0601  1 O 1.00
S: 0.2656 0.5864 0.1291  4 O 1.47-1.50
H: 0.0946 0.2610 0.8808  1 O 0.99
H: 0.6250 0.8304 0.4205  1 N 1.05
O: 0.9731 0.6641 0.3823  2 H 1.00
O: 0.0570 0.1132 0.3276  1 S 1.49
O: 0.7860 0.5552 0.9359  1 S 1.47, 1 H 1.64
H: 0.0114 0.1436 0.1938  1 O 1.00
H: 0.3291 0.5218 0.3503  1 O 1.00
H: 0.3262 0.7281 0.5853  1 O 1.00
O: 0.5851 0.9234 0.7225  1 S 1.50
O: 0.1679 0.1790 0.8926  2 H 0.99-1.00
V: 0.0000 0.5000 0.5000  6 O 2.10-2.12
H: 0.6738 0.7719 0.0853  1 O 1.00
H: 0.6709 0.4782 0.6497  1 O 1.00
O: 0.3024 0.9953 0.0712  2 H 1.00
H: 0.4536 0.0660 0.6814  1 N 1.05
O: 0.5851 0.4234 0.7775  1 S 1.50
H: 0.4536 0.5661 0.8186  1 N 1.05
O: 0.4149 0.5766 0.2225  1 S 1.50
H: 0.3895 0.7314 0.7887  1 N 1.04
H: 0.9340 0.7284 0.8999  1 O 1.00
H: 0.6558 0.1012 0.9399  1 O 1.00
H: 0.0660 0.2716 0.1001  1 O 1.00
H: 0.9886 0.3564 0.6938  1 O 1.00
H: 0.0946 0.7610 0.6192  1 O 0.99
O: 0.9731 0.1641 0.1177  2 H 1.00
O: 0.9430 0.8868 0.6724  1 S 1.49
H: 0.8126 0.4320 0.1718  1 N 1.04
O: 0.3024 0.4953 0.4288  2 H 1.00
S: 0.2656 0.0864 0.3709  4 O 1.47-1.50
H: 0.5464 0.9340 0.3186  1 N 1.05
O: 0.2140 0.9448 0.4359  1 S 1.47, 1 H 1.64
S: 0.7344 0.4136 0.8709  4 O 1.47-1.50
H: 0.9340 0.2284 0.6001  1 O 1.00
O: 0.8321 0.3210 0.3926  2 H 0.99-1.00
H: 0.3291 0.0218 0.1497  1 O 1.00



Entry 4:
Material: ScHN2O
Method: DFT, PBEsol
State: optimized geometry

Output
Energy ... -6.5049 eV per atom
Magnetic moment ... 0.00 μB/f.u.
Calculated density ... 3.72 g cm⁻³
V ... 40 Å³/cell

Cell lengths 2.9225, 2.9225, 4.6988 Å; angles 90.00, 90.00, 90.00 degrees
With the nearest neighbours (Å) after each atom.
Positions (direct):
N: 0.0000 0.5000 0.0000  2 H 1.46
N: 0.5000 0.0000 0.0000  2 H 1.46
Sc: 0.5000 0.5000 0.5000  4 O 2.07
O: 0.0000 0.0000 0.5000  4 Sc 2.07
H: 0.0000 0.0000 0.0000  4 N 1.46



- energy of number 3 (VH20S2N2O14)?
  -5.5692 eV per atom